Here is crystalline TaRuPt2 at its relaxed geometry from Alexandria. Energies are from PBE-GGA.

Cell: 4.887 4.887 4.772 Å, 79.71 79.71 34.09°
Element x y z (fractional)
Pt: 0.002 0.002 0.997
Pt: 0.498 0.498 0.503
Ta: 0.250 0.250 0.250
Ru: 0.750 0.750 0.750

Results
Symmetry ... C2/m, No. 12
Electronic total energy ... -34.40 eV per formula unit
Size of the total moment ... 0.00 Bohr magnetons per cell